1.
First-principles (PBE) data for crystalline Na2CoCl4 at its relaxed geometry, as listed in the Alexandria database.

It has space group Pnma (No. 62), with a = 13.910 Å, b = 8.200 Å, c = 6.418 Å, α = 90.00°, β = 90.00° and γ = 90.00°. The distinct sites, in fractional coordinates, are Na at (0.000, 0.000, 0.000), Na at (0.229, 0.250, 0.490), Co at (0.091, 0.750, 0.407), Cl at (0.060, 0.250, 0.731), Cl at (0.092, 0.750, 0.758) and Cl at (0.165, 0.530, 0.262).

As for the uncorrected formation energy: -1282.1 meV/atom. The calculation puts the calculated volume at 732.00 Å³ per cell. As for the relative energy among the computed polymorphs: 0 meV/atom. Its total energy is -3.729 eV/atom.

2.
First-principles (PBE) data for crystalline Na3Co5Cl12 at its relaxed geometry, as listed in the Alexandria database.

It has space group Ia-3d (No. 230), with a = 15.326 Å, b = 15.326 Å, c = 15.326 Å, α = 90.00°, β = 90.00° and γ = 90.00°. The distinct sites, in fractional coordinates, are Na at (0.000, 0.250, 0.125), Co at (0.000, 0.000, 0.000), Co at (0.000, 0.250, 0.375) and Cl at (0.031, 0.053, 0.648).

As for the uncorrected formation energy: -868.5 meV/atom. The calculation puts the calculated volume at 3599.77 Å³ per cell. Its total energy is -3.951 eV/atom.

3.
First-principles (PBE) data for crystalline NaCoCl2 at its relaxed geometry, as listed in the Alexandria database.

It has space group Fm-3m (No. 225), with a = 6.595 Å, b = 6.595 Å, c = 6.595 Å, α = 90.00°, β = 90.00° and γ = 90.00°. The distinct sites, in fractional coordinates, are Na at (0.000, 0.000, 0.000), Co at (0.000, 0.000, 0.500) and Cl at (0.250, 0.250, 0.250).

As for the uncorrected formation energy: -425.5 meV/atom. The calculation puts the calculated volume at 286.80 Å³ per cell. As for the relative energy among the computed polymorphs: 317 meV/atom. Its total energy is -3.455 eV/atom.

4.
First-principles (PBE) data for crystalline Na3CoCl at its relaxed geometry, as listed in the Alexandria database.

It has space group Pm-3m (No. 221), with a = 5.246 Å, b = 5.246 Å, c = 5.246 Å, α = 90.00°, β = 90.00° and γ = 90.00°. The distinct sites, in fractional coordinates, are Na at (0.000, 0.000, 0.500), Co at (0.500, 0.500, 0.500) and Cl at (0.000, 0.000, 0.000).

As for the uncorrected formation energy: 63.5 meV/atom. The calculation puts the calculated volume at 144.39 Å³ per cell. As for the relative energy among the computed polymorphs: 0 meV/atom. Its total energy is -2.518 eV/atom.

5.
First-principles (PBE) data for crystalline Na6CoCl12 at its relaxed geometry, as listed in the Alexandria database.

It has space group R-3 (No. 148, hexagonal axes), with a = 11.6700 Å, b = 11.6700 Å, c = 12.1427 Å, α = 90.00°, β = 90.00° and γ = 120.00°. The distinct sites, in fractional coordinates, are Na at (0.0523, 0.5928, 0.3092), Co at (0.0000, 0.0000, 0.0000), Cl at (0.0605, 0.8799, 0.8934) and Cl at (0.0626, 0.8238, 0.4043).

As for the uncorrected formation energy: -1127.8 meV/atom. The calculation puts the calculated volume at 1432.15 Å³ per cell. Its total energy is -3.085 eV/atom.

6.
First-principles (PBE) data for crystalline NaNpCoCl6 at its relaxed geometry, as listed in the Alexandria database.

It has space group P-31c (No. 163), with a = 6.5551 Å, b = 6.5551 Å, c = 12.7936 Å, α = 90.00°, β = 90.00° and γ = 120.00°. The distinct sites, in fractional coordinates, are Na at (0.0000, 0.0000, 0.0000), Np at (0.3333, 0.6667, 0.2500), Co at (0.3333, 0.6667, 0.7500) and Cl at (0.0217, 0.3610, 0.6357).

As for the uncorrected formation energy: -1349.9 meV/atom. The calculation puts the calculated volume at 476.08 Å³ per cell. Its total energy is -4.955 eV/atom.

7.
First-principles (PBE) data for crystalline NaCoOsCl2 at its relaxed geometry, as listed in the Alexandria database.

It has space group P4/mmm (No. 123), with a = 4.734 Å, b = 4.734 Å, c = 4.581 Å, α = 90.00°, β = 90.00° and γ = 90.00°. The distinct sites, in fractional coordinates, are Na at (0.000, 0.000, 0.000), Co at (0.500, 0.500, 0.500), Os at (0.500, 0.500, 0.000) and Cl at (0.000, 0.500, 0.500).

As for the uncorrected formation energy: 569.1 meV/atom. The calculation puts the calculated volume at 102.69 Å³ per cell. Its total energy is -4.100 eV/atom.

8.
First-principles (PBE) data for crystalline NaCoP2Cl at its relaxed geometry, as listed in the Alexandria database.

It has space group P4/mmm (No. 123), with a = 4.983 Å, b = 4.983 Å, c = 4.860 Å, α = 90.00°, β = 90.00° and γ = 90.00°. The distinct sites, in fractional coordinates, are Na at (0.000, 0.000, 0.000), Co at (0.500, 0.500, 0.500), P at (0.000, 0.500, 0.000) and Cl at (0.000, 0.000, 0.500).

As for the uncorrected formation energy: 1409.2 meV/atom. The calculation puts the calculated volume at 120.65 Å³ per cell. As for the relative energy among the computed polymorphs: 1688 meV/atom. Its total energy is -2.809 eV/atom.

9.
First-principles (PBE) data for crystalline NaCoP2Cl at its relaxed geometry, as listed in the Alexandria database.

It has space group P4/mmm (No. 123), with a = 4.095 Å, b = 4.095 Å, c = 8.813 Å, α = 90.00°, β = 90.00° and γ = 90.00°. The distinct sites, in fractional coordinates, are Na at (0.000, 0.000, 0.000), Co at (0.500, 0.500, 0.500), P at (0.000, 0.500, 0.500) and Cl at (0.500, 0.500, 0.000).

As for the uncorrected formation energy: -278.3 meV/atom. The calculation puts the calculated volume at 147.82 Å³ per cell. As for the relative energy among the computed polymorphs: 0 meV/atom. Its total energy is -4.497 eV/atom.

10.
First-principles (PBE) data for crystalline NaCo2PbCl8 at its relaxed geometry, as listed in the Alexandria database.

It has space group R-3 (No. 148, hexagonal axes), with a = 6.5378 Å, b = 6.5378 Å, c = 27.6300 Å, α = 90.00°, β = 90.00° and γ = 120.00°. The distinct sites, in fractional coordinates, are Na at (0.0000, 0.0000, 0.0000), Co at (0.0000, 0.0000, 0.2547), Pb at (0.0000, 0.0000, 0.5000), Cl at (0.0000, 0.0000, 0.3331) and Cl at (0.0042, 0.6391, 0.5623).

As for the uncorrected formation energy: -854.7 meV/atom. The calculation puts the calculated volume at 1022.75 Å³ per cell. Its total energy is -3.689 eV/atom.

11.
First-principles (PBE) data for crystalline Na2CoPdCl6 at its relaxed geometry, as listed in the Alexandria database.

It has space group P1 (No. 1), with a = 6.618 Å, b = 6.623 Å, c = 6.762 Å, α = 119.25°, β = 90.03° and γ = 119.95°. The distinct sites, in fractional coordinates, are Na at (0.000, 0.000, 0.000), Na at (0.495, 0.990, 0.485), Co at (0.785, 0.571, 0.357), Pd at (0.283, 0.567, 0.851), Cl at (0.026, 0.483, 0.124), Cl at (0.116, 0.045, 0.603), Cl at (0.457, 0.098, 0.124), Cl at (0.557, 0.674, 0.603), Cl at (0.641, 0.667, 0.124) and Cl at (0.928, 0.486, 0.603).

As for the uncorrected formation energy: -926.4 meV/atom. The calculation puts the calculated volume at 212.00 Å³ per cell. Its total energy is -3.528 eV/atom.

12.
First-principles (PBE) data for crystalline NaPmCoCl6 at its relaxed geometry, as listed in the Alexandria database.

It has space group P-31c (No. 163), with a = 6.6847 Å, b = 6.6847 Å, c = 12.4787 Å, α = 90.00°, β = 90.00° and γ = 120.00°. The distinct sites, in fractional coordinates, are Na at (0.0000, 0.0000, 0.0000), Pm at (0.3333, 0.6667, 0.2500), Co at (0.3333, 0.6667, 0.7500) and Cl at (0.0303, 0.3692, 0.6347).

As for the uncorrected formation energy: -1565.4 meV/atom. The calculation puts the calculated volume at 482.91 Å³ per cell. Its total energy is -4.260 eV/atom.